A plane-wave DFT calculation with PBE was carried out for an optimized crystal structure of YNb2Co2.

Unit cell a=4.296 b=4.296 c=5.778 alpha=68.18 beta=68.18 gamma=90.00
Atoms (fractional coordinates):
Nb: 0.750 0.250 0.500
Nb: 0.250 0.750 0.500
Co: 0.377 0.377 0.245
Co: 0.623 0.623 0.755
Y: 0.000 0.000 0.000

Calculated values
VASP energy   -41.40 eV/f.u.
Fermi-level density of states   3.10 states/eV/f.u.
Relative energy among the computed polymorphs   0.00 eV/f.u.
Formation energy   -0.12 eV/atom